K6As4W after structural relaxation, computed with GGA-PBE. Values from VASP.

```
&SYSTEM
  ibrav = 0, nat = 22, ntyp = 3
/
ATOMIC_SPECIES
As 74.92 As.upf
K 39.10 K.upf
W 183.84 W.upf
ATOMIC_POSITIONS crystal
As 0.840 0.592 0.796
As 0.840 0.204 0.796
As 0.340 0.796 0.204
As 0.340 0.408 0.204
As 0.840 0.204 0.408
As 0.451 0.333 0.667
As 0.951 0.667 0.333
As 0.340 0.796 0.592
K 0.136 0.468 0.937
K 0.636 0.937 0.468
K 0.136 0.063 0.532
K 0.956 0.292 0.146
K 0.456 0.146 0.292
K 0.636 0.532 0.063
K 0.956 0.854 0.708
K 0.456 0.708 0.854
K 0.456 0.146 0.854
K 0.956 0.854 0.146
K 0.136 0.468 0.532
K 0.636 0.532 0.468
W 0.746 0.333 0.667
W 0.246 0.667 0.333
CELL_PARAMETERS angstrom
8.210 0.000 0.000
0.000 8.945 -5.165
0.000 0.000 10.329
```

Values from the calculation:
Its formation energy is -41 kJ per mole of atoms.



K2AsW after structural relaxation, computed with GGA-PBE. Values from VASP.

```
&SYSTEM
  ibrav = 0, nat = 4, ntyp = 3
/
ATOMIC_SPECIES
K 39.10 K.upf
W 183.84 W.upf
As 74.92 As.upf
ATOMIC_POSITIONS crystal
K 0.005 0.005 0.005
K 0.495 0.495 0.495
W 0.250 0.250 0.250
As 0.750 0.750 0.750
CELL_PARAMETERS angstrom
-4.710 10.284 3.748
-5.173 8.705 6.282
-2.525 10.084 5.824
```

Values from the calculation:
The density of states at the Fermi level comes out at 3.20 states/eV per cell. Its formation energy is 96 kJ per mole of atoms.



K2AsW after structural relaxation, computed with GGA-PBE. Values from VASP.

```
&SYSTEM
  ibrav = 0, nat = 4, ntyp = 3
/
ATOMIC_SPECIES
K 39.10 K.upf
W 183.84 W.upf
As 74.92 As.upf
ATOMIC_POSITIONS crystal
K 0.000 0.000 0.000
K 0.000 0.500 0.500
W 0.500 0.500 0.000
As 0.500 0.000 0.500
CELL_PARAMETERS angstrom
5.604 0.000 0.000
0.000 4.165 0.000
0.000 0.000 4.165
```

Values from the calculation:
The density of states at the Fermi level comes out at 2.75 states/eV per cell. Its formation energy is 104 kJ per mole of atoms.



KAs3W after structural relaxation, computed with GGA-PBE. Values from VASP.

```
&SYSTEM
  ibrav = 0, nat = 5, ntyp = 3
/
ATOMIC_SPECIES
W 183.84 W.upf
K 39.10 K.upf
As 74.92 As.upf
ATOMIC_POSITIONS crystal
W 0.000 0.000 0.000
K 0.500 0.500 0.500
As 0.000 0.000 0.500
As 0.500 0.000 0.000
As 0.000 0.500 0.000
CELL_PARAMETERS angstrom
-1.369 4.450 -1.818
-3.956 0.031 3.055
2.731 2.276 3.514
```

Values from the calculation:
The density of states at the Fermi level comes out at 3.64 states/eV per cell. Its formation energy is 9 kJ per mole of atoms. The calculation puts the polymorph energy (0 for the lowest one) at 0 meV per atom.



Number 1: uncorrected energy -3.895 eV per atom. Number 2: uncorrected energy -3.957 eV per atom. Number 3: uncorrected energy -3.876 eV per atom. Number 4: uncorrected energy -5.505 eV per atom.